Compound: SrLa2ScIr
Source: Alexandria
Functional: PBE
Structure: relaxed

a b c (Å): 5.7130 5.7130 5.3440
angles (deg): 90.00 90.00 90.00
Atoms (fractional coordinates):
Sr (0.0000, 0.0000, 0.0000)
La (0.0000, 0.5000, 0.5000)
La (0.5000, 0.0000, 0.5000)
Sc (0.5000, 0.5000, 0.0000)
Ir (0.5000, 0.5000, 0.5000)

Properties
Its space group is No. 123. As for the total magnetic moment: 0.0 μB per formula unit. The value obtained for the formation energy from the elements is -0.302 eV per atom.